Here is a relaxed Ac5Cd2Ir2 crystal from Alexandria via LeMat-Bulk. Energies are from PBE.

The structure in CIF format:
```
data_Ac5Cd2Ir2
_cell_length_a 17.239
_cell_length_b 8.214
_cell_length_c 8.416
_cell_angle_alpha 90.00
_cell_angle_beta 90.00
_cell_angle_gamma 90.00
_symmetry_space_group_name_H-M 'C m c e'
_symmetry_Int_Tables_number 64
_symmetry_space_group_name_Hall '-C 2ac 2'
loop_
_atom_site_label
_atom_site_type_symbol
_atom_site_fract_x
_atom_site_fract_y
_atom_site_fract_z
Ac1 Ac 0.000 0.000 0.000
Ac2 Ac 0.116 0.164 0.333
Cd1 Cd 0.214 0.000 0.000
Ir1 Ir 0.000 0.136 0.635
```

## Properties
- Spin magnetization: 0.000 μB/atom
- DFT formation energy: -0.439 eV/atom
- Density: 9.7 g/cm³

=====

Here is a relaxed Ac6CdIr2 crystal from Alexandria via LeMat-Bulk. Energies are from PBE.

The structure in CIF format:
```
data_Ac6CdIr2
_cell_length_a 13.476
_cell_length_b 4.369
_cell_length_c 12.692
_cell_angle_alpha 90.00
_cell_angle_beta 106.16
_cell_angle_gamma 90.00
_symmetry_space_group_name_H-M 'C 1 2/m 1'
_symmetry_Int_Tables_number 12
loop_
_symmetry_equiv_pos_as_xyz
'x,y,z'
'-x,-y,-z'
'-x,y,-z'
'x,-y,z'
'x+1/2,y+1/2,z'
'-x+1/2,-y+1/2,-z'
'-x+1/2,y+1/2,-z'
'x+1/2,-y+1/2,z'
loop_
_atom_site_label
_atom_site_type_symbol
_atom_site_fract_x
_atom_site_fract_y
_atom_site_fract_z
Ac1 Ac 0.029 0.000 0.276
Ac2 Ac 0.166 0.500 0.576
Ac3 Ac 0.203 0.500 0.119
Cd1 Cd 0.000 0.000 0.000
Ir1 Ir 0.180 0.500 0.341
```

## Properties
- Spin magnetization: 0.000 μB/atom
- DFT formation energy: -0.398 eV/atom
- E above lowest polymorph: 0.0 kJ per mole of atoms
- Density: 8.6 g/cm³

=====

Here is a relaxed Ac4CdIr crystal from Alexandria via LeMat-Bulk. Energies are from PBE.

The structure in CIF format:
```
data_Ac4CdIr
_cell_length_a 5.359
_cell_length_b 5.359
_cell_length_c 7.906
_cell_angle_alpha 90.00
_cell_angle_beta 90.00
_cell_angle_gamma 90.00
_symmetry_space_group_name_H-M 'P 4/m m m'
_symmetry_Int_Tables_number 123
_symmetry_space_group_name_Hall '-P 4 2'
loop_
_atom_site_label
_atom_site_type_symbol
_atom_site_fract_x
_atom_site_fract_y
_atom_site_fract_z
Ac1 Ac 0.000 0.500 0.226
Cd1 Cd 0.000 0.000 0.500
Ir1 Ir 0.500 0.500 0.000
```

## Properties
- Spin magnetization: 0.000 μB/atom
- DFT formation energy: -0.178 eV/atom
- E above lowest polymorph: 21.2 kJ per mole of atoms
- Density: 8.9 g/cm³

=====

Here is a relaxed Ac2LaCdIr crystal from Alexandria via LeMat-Bulk. Energies are from PBE.

The structure in CIF format:
```
data_Ac2LaCdIr
_cell_length_a 9.168
_cell_length_b 4.435
_cell_length_c 9.208
_cell_angle_alpha 90.00
_cell_angle_beta 104.54
_cell_angle_gamma 90.00
_symmetry_space_group_name_H-M 'P 1 21/m 1'
_symmetry_Int_Tables_number 11
loop_
_symmetry_equiv_pos_as_xyz
'x,y,z'
'-x,-y,-z'
'-x,y+1/2,-z'
'x,-y+1/2,z'
loop_
_atom_site_label
_atom_site_type_symbol
_atom_site_fract_x
_atom_site_fract_y
_atom_site_fract_z
Ac1 Ac 0.126 0.250 0.379
Ac2 Ac 0.186 0.250 0.958
La1 La 0.458 0.750 0.312
Cd1 Cd 0.274 0.750 0.684
Ir1 Ir 0.157 0.750 0.173
```

## Properties
- Spin magnetization: 0.000 μB/atom
- DFT formation energy: -0.423 eV/atom
- Density: 8.2 g/cm³

=====

Here is a relaxed LiAc2CdIr crystal from Alexandria via LeMat-Bulk. Energies are from PBE.

The structure in CIF format:
```
data_LiAc2CdIr
_cell_length_a 8.159
_cell_length_b 4.484
_cell_length_c 8.400
_cell_angle_alpha 90.00
_cell_angle_beta 108.08
_cell_angle_gamma 90.00
_symmetry_space_group_name_H-M 'P 1 21/m 1'
_symmetry_Int_Tables_number 11
loop_
_symmetry_equiv_pos_as_xyz
'x,y,z'
'-x,-y,-z'
'-x,y+1/2,-z'
'x,-y+1/2,z'
loop_
_atom_site_label
_atom_site_type_symbol
_atom_site_fract_x
_atom_site_fract_y
_atom_site_fract_z
Li1 Li 0.071 0.250 0.170
Ac1 Ac 0.231 0.750 0.542
Ac2 Ac 0.392 0.750 0.164
Cd1 Cd 0.151 0.250 0.841
Ir1 Ir 0.381 0.250 0.398
```

## Properties
- Spin magnetization: 0.000 μB/atom
- DFT formation energy: -0.387 eV/atom
- Density: 8.7 g/cm³

=====

Here is a relaxed LiAcCdIr crystal from Alexandria via LeMat-Bulk. Energies are from PBE.

The structure in CIF format:
```
data_LiAcCdIr
_cell_length_a 7.105
_cell_length_b 7.105
_cell_length_c 7.105
_cell_angle_alpha 90.00
_cell_angle_beta 90.00
_cell_angle_gamma 90.00
_symmetry_space_group_name_H-M 'F -4 3 m'
_symmetry_Int_Tables_number 216
_symmetry_space_group_name_Hall 'F -4 2 3'
loop_
_atom_site_label
_atom_site_type_symbol
_atom_site_fract_x
_atom_site_fract_y
_atom_site_fract_z
Li1 Li 0.000 0.000 0.000
Ac1 Ac 0.250 0.250 0.250
Cd1 Cd 0.250 0.250 0.750
Ir1 Ir 0.000 0.000 0.500
```

## Properties
- Spin magnetization: 0.000 μB/atom
- DFT formation energy: -0.230 eV/atom
- Density: 10.0 g/cm³

=====

Here is a relaxed NaAcCdIr crystal from Alexandria via LeMat-Bulk. Energies are from PBE.

The structure in CIF format:
```
data_NaAcCdIr
_cell_length_a 7.254
_cell_length_b 7.254
_cell_length_c 7.254
_cell_angle_alpha 90.00
_cell_angle_beta 90.00
_cell_angle_gamma 90.00
_symmetry_space_group_name_H-M 'F -4 3 m'
_symmetry_Int_Tables_number 216
_symmetry_space_group_name_Hall 'F -4 2 3'
loop_
_atom_site_label
_atom_site_type_symbol
_atom_site_fract_x
_atom_site_fract_y
_atom_site_fract_z
Na1 Na 0.000 0.000 0.000
Ac1 Ac 0.250 0.250 0.750
Cd1 Cd 0.250 0.250 0.250
Ir1 Ir 0.000 0.000 0.500
```

## Properties
- Spin magnetization: 0.000 μB/atom
- DFT formation energy: -0.101 eV/atom
- Density: 9.7 g/cm³

=====

Here is a relaxed AcNdCdIr crystal from Alexandria via LeMat-Bulk. Energies are from PBE.

The structure in CIF format:
```
data_AcNdCdIr
_cell_length_a 7.560
_cell_length_b 7.560
_cell_length_c 7.560
_cell_angle_alpha 90.00
_cell_angle_beta 90.00
_cell_angle_gamma 90.00
_symmetry_space_group_name_H-M 'F -4 3 m'
_symmetry_Int_Tables_number 216
_symmetry_space_group_name_Hall 'F -4 2 3'
loop_
_atom_site_label
_atom_site_type_symbol
_atom_site_fract_x
_atom_site_fract_y
_atom_site_fract_z
Ac1 Ac 0.000 0.000 0.000
Nd1 Nd 0.000 0.000 0.500
Cd1 Cd 0.250 0.250 0.250
Ir1 Ir 0.250 0.250 0.750
```

## Properties
- Spin magnetization: 0.000 μB/atom
- DFT formation energy: -0.343 eV/atom
- Density: 10.4 g/cm³

=====

Here is a relaxed AcCd2IrO8 crystal from Alexandria via LeMat-Bulk. Energies are from PBE.

The structure in CIF format:
```
data_AcCd2IrO8
_cell_length_a 4.791
_cell_length_b 7.153
_cell_length_c 4.935
_cell_angle_alpha 90.00
_cell_angle_beta 90.62
_cell_angle_gamma 90.00
_symmetry_space_group_name_H-M 'P 1 2/m 1'
_symmetry_Int_Tables_number 10
loop_
_symmetry_equiv_pos_as_xyz
'x,y,z'
'-x,-y,-z'
'-x,y,-z'
'x,-y,z'
loop_
_atom_site_label
_atom_site_type_symbol
_atom_site_fract_x
_atom_site_fract_y
_atom_site_fract_z
Ac1 Ac 0.000 0.000 0.000
Cd1 Cd 0.500 0.267 0.500
Ir1 Ir 0.000 0.500 0.000
O1 O 0.203 0.500 0.328
O2 O 0.231 0.000 0.474
O3 O 0.236 0.302 0.876
```

## Properties
- Formation energy from raw total energies: -1.1048 eV per atom
- Spin magnetization: 0.000 μB/atom
- Density: 7.6 g/cm³

=====

Here is a relaxed AcCdIrO6 crystal from Alexandria via LeMat-Bulk. Energies are from PBE.

The structure in CIF format:
```
data_AcCdIrO6
_cell_length_a 5.9392
_cell_length_b 5.9392
_cell_length_c 8.3667
_cell_angle_alpha 90.00
_cell_angle_beta 90.00
_cell_angle_gamma 120.00
_symmetry_space_group_name_H-M 'P -3 1 c'
_symmetry_Int_Tables_number 163
_symmetry_space_group_name_Hall '-P 3 2c'
loop_
_atom_site_label
_atom_site_type_symbol
_atom_site_fract_x
_atom_site_fract_y
_atom_site_fract_z
Ac1 Ac 0.3333 0.6667 0.2500
Cd1 Cd 0.0000 0.0000 0.0000
Ir1 Ir 0.3333 0.6667 0.7500
O1 O 0.0689 0.3914 0.6213
```

## Properties
- Formation energy from raw total energies: -1.3720 eV per atom
- Spin magnetization: 0.170 μB/atom
- Density: 8.2 g/cm³

=====

Here is a relaxed AcCd2IrO6 crystal from Alexandria via LeMat-Bulk. Energies are from PBE.

The structure in CIF format:
```
data_AcCd2IrO6
_cell_length_a 5.805
_cell_length_b 5.935
_cell_length_c 10.153
_cell_angle_alpha 90.00
_cell_angle_beta 124.66
_cell_angle_gamma 90.00
_symmetry_space_group_name_H-M 'P 1 21/c 1'
_symmetry_Int_Tables_number 14
loop_
_symmetry_equiv_pos_as_xyz
'x,y,z'
'-x,-y,-z'
'-x,y+1/2,-z+1/2'
'x,-y+1/2,z+1/2'
loop_
_atom_site_label
_atom_site_type_symbol
_atom_site_fract_x
_atom_site_fract_y
_atom_site_fract_z
Ac1 Ac 0.000 0.000 0.000
Cd1 Cd 0.236 0.027 0.731
Ir1 Ir 0.500 0.000 0.500
O1 O 0.167 0.152 0.464
O2 O 0.261 0.727 0.407
O3 O 0.401 0.105 0.286
```

## Properties
- Formation energy from raw total energies: -1.4532 eV per atom
- Spin magnetization: 0.205 μB/atom
- Density: 8.5 g/cm³

=====

Here is a relaxed Ac2CdIrPb crystal from Alexandria via LeMat-Bulk. Energies are from PBE.

The structure in CIF format:
```
data_Ac2CdIrPb
_cell_length_a 8.386
_cell_length_b 4.557
_cell_length_c 8.477
_cell_angle_alpha 90.00
_cell_angle_beta 109.78
_cell_angle_gamma 90.00
_symmetry_space_group_name_H-M 'P 1 21/m 1'
_symmetry_Int_Tables_number 11
loop_
_symmetry_equiv_pos_as_xyz
'x,y,z'
'-x,-y,-z'
'-x,y+1/2,-z'
'x,-y+1/2,z'
loop_
_atom_site_label
_atom_site_type_symbol
_atom_site_fract_x
_atom_site_fract_y
_atom_site_fract_z
Ac1 Ac 0.104 0.250 0.327
Ac2 Ac 0.287 0.250 0.976
Cd1 Cd 0.435 0.750 0.333
Ir1 Ir 0.107 0.750 0.087
Pb1 Pb 0.319 0.750 0.662
```

## Properties
- Spin magnetization: 0.000 μB/atom
- DFT formation energy: -0.521 eV/atom
- Density: 10.5 g/cm³

=====

Here is a relaxed AcCdIrPb crystal from Alexandria via LeMat-Bulk. Energies are from PBE.

The structure in CIF format:
```
data_AcCdIrPb
_cell_length_a 7.417
_cell_length_b 7.417
_cell_length_c 7.417
_cell_angle_alpha 90.00
_cell_angle_beta 90.00
_cell_angle_gamma 90.00
_symmetry_space_group_name_H-M 'F -4 3 m'
_symmetry_Int_Tables_number 216
_symmetry_space_group_name_Hall 'F -4 2 3'
loop_
_atom_site_label
_atom_site_type_symbol
_atom_site_fract_x
_atom_site_fract_y
_atom_site_fract_z
Ac1 Ac 0.000 0.000 0.000
Cd1 Cd 0.250 0.250 0.750
Ir1 Ir 0.250 0.250 0.250
Pb1 Pb 0.000 0.000 0.500
```

## Properties
- Spin magnetization: 0.000 μB/atom
- DFT formation energy: -0.085 eV/atom
- Density: 12.0 g/cm³

=====

Here is a relaxed AcCdIrPd crystal from Alexandria via LeMat-Bulk. Energies are from PBE.

The structure in CIF format:
```
data_AcCdIrPd
_cell_length_a 7.071
_cell_length_b 7.071
_cell_length_c 7.071
_cell_angle_alpha 90.00
_cell_angle_beta 90.00
_cell_angle_gamma 90.00
_symmetry_space_group_name_H-M 'F -4 3 m'
_symmetry_Int_Tables_number 216
_symmetry_space_group_name_Hall 'F -4 2 3'
loop_
_atom_site_label
_atom_site_type_symbol
_atom_site_fract_x
_atom_site_fract_y
_atom_site_fract_z
Ac1 Ac 0.000 0.000 0.000
Cd1 Cd 0.000 0.000 0.500
Ir1 Ir 0.250 0.250 0.250
Pd1 Pd 0.250 0.250 0.750
```

## Properties
- Spin magnetization: 0.000 μB/atom
- DFT formation energy: -0.309 eV/atom
- Density: 12.0 g/cm³

=====

Here is a relaxed Ac4CdIr2Pd crystal from Alexandria via LeMat-Bulk. Energies are from PBE.

The structure in CIF format:
```
data_Ac4CdIr2Pd
_cell_length_a 4.432
_cell_length_b 13.515
_cell_length_c 17.434
_cell_angle_alpha 90.00
_cell_angle_beta 90.00
_cell_angle_gamma 90.00
_symmetry_space_group_name_H-M 'C m c m'
_symmetry_Int_Tables_number 63
_symmetry_space_group_name_Hall '-C 2c 2'
loop_
_atom_site_label
_atom_site_type_symbol
_atom_site_fract_x
_atom_site_fract_y
_atom_site_fract_z
Ac1 Ac 0.000 0.000 0.000
Ac2 Ac 0.000 0.275 0.088
Ac3 Ac 0.000 0.408 0.750
Cd1 Cd 0.000 0.120 0.750
Ir1 Ir 0.000 0.372 0.567
Pd1 Pd 0.000 0.255 0.250
```

## Properties
- Spin magnetization: 0.000 μB/atom
- DFT formation energy: -0.491 eV/atom
- Density: 9.6 g/cm³

=====

Here is a relaxed AcPmCdIr crystal from Alexandria via LeMat-Bulk. Energies are from PBE.

The structure in CIF format:
```
data_AcPmCdIr
_cell_length_a 7.537
_cell_length_b 7.537
_cell_length_c 7.537
_cell_angle_alpha 90.00
_cell_angle_beta 90.00
_cell_angle_gamma 90.00
_symmetry_space_group_name_H-M 'F -4 3 m'
_symmetry_Int_Tables_number 216
_symmetry_space_group_name_Hall 'F -4 2 3'
loop_
_atom_site_label
_atom_site_type_symbol
_atom_site_fract_x
_atom_site_fract_y
_atom_site_fract_z
Ac1 Ac 0.000 0.000 0.000
Pm1 Pm 0.000 0.000 0.500
Cd1 Cd 0.250 0.250 0.750
Ir1 Ir 0.250 0.250 0.250
```

## Properties
- Spin magnetization: 0.000 μB/atom
- DFT formation energy: -0.351 eV/atom
- Density: 10.5 g/cm³

=====

Here is a relaxed AcPrCdIr crystal from Alexandria via LeMat-Bulk. Energies are from PBE.

The structure in CIF format:
```
data_AcPrCdIr
_cell_length_a 7.584
_cell_length_b 7.584
_cell_length_c 7.584
_cell_angle_alpha 90.00
_cell_angle_beta 90.00
_cell_angle_gamma 90.00
_symmetry_space_group_name_H-M 'F -4 3 m'
_symmetry_Int_Tables_number 216
_symmetry_space_group_name_Hall 'F -4 2 3'
loop_
_atom_site_label
_atom_site_type_symbol
_atom_site_fract_x
_atom_site_fract_y
_atom_site_fract_z
Ac1 Ac 0.000 0.000 0.000
Pr1 Pr 0.000 0.000 0.500
Cd1 Cd 0.250 0.250 0.250
Ir1 Ir 0.250 0.250 0.750
```

## Properties
- Spin magnetization: 0.000 μB/atom
- DFT formation energy: -0.336 eV/atom
- Density: 10.2 g/cm³

=====

Here is a relaxed Ac2CdIrPt crystal from Alexandria via LeMat-Bulk. Energies are from PBE.

The structure in CIF format:
```
data_Ac2CdIrPt
_cell_length_a 4.325
_cell_length_b 4.325
_cell_length_c 14.607
_cell_angle_alpha 90.00
_cell_angle_beta 90.00
_cell_angle_gamma 90.00
_symmetry_space_group_name_H-M 'P 4/n m m'
_symmetry_Int_Tables_number 129
loop_
_symmetry_equiv_pos_as_xyz
'x,y,z'
'-x,-y,-z'
'-y+1/2,x,z'
'y+1/2,-x,-z'
'-x+1/2,-y+1/2,z'
'x+1/2,y+1/2,-z'
'y,-x+1/2,z'
'-y,x+1/2,-z'
'x+1/2,-y,-z'
'-x+1/2,y,z'
'-y,-x,-z'
'y,x,z'
'-x,y+1/2,-z'
'x,-y+1/2,z'
'y+1/2,x+1/2,-z'
'-y+1/2,-x+1/2,z'
loop_
_atom_site_label
_atom_site_type_symbol
_atom_site_fract_x
_atom_site_fract_y
_atom_site_fract_z
Ac1 Ac 0.250 0.250 0.105
Ac2 Ac 0.250 0.250 0.698
Cd1 Cd 0.250 0.750 0.500
Ir1 Ir 0.250 0.250 0.893
Pt1 Pt 0.250 0.250 0.361
```

## Properties
- Spin magnetization: 0.000 μB/atom
- DFT formation energy: -0.700 eV/atom
- Density: 11.6 g/cm³

=====

Here is a relaxed Ac3CdIrPt crystal from Alexandria via LeMat-Bulk. Energies are from PBE.

The structure in CIF format:
```
data_Ac3CdIrPt
_cell_length_a 9.666
_cell_length_b 4.402
_cell_length_c 9.869
_cell_angle_alpha 90.00
_cell_angle_beta 108.69
_cell_angle_gamma 90.00
_symmetry_space_group_name_H-M 'P 1 21/m 1'
_symmetry_Int_Tables_number 11
loop_
_symmetry_equiv_pos_as_xyz
'x,y,z'
'-x,-y,-z'
'-x,y+1/2,-z'
'x,-y+1/2,z'
loop_
_atom_site_label
_atom_site_type_symbol
_atom_site_fract_x
_atom_site_fract_y
_atom_site_fract_z
Ac1 Ac 0.000 0.250 0.230
Ac2 Ac 0.295 0.250 0.630
Ac3 Ac 0.358 0.250 0.063
Cd1 Cd 0.313 0.750 0.341
Ir1 Ir 0.320 0.750 0.846
Pt1 Pt 0.075 0.750 0.457
```

## Properties
- Spin magnetization: 0.000 μB/atom
- DFT formation energy: -0.686 eV/atom
- Density: 9.9 g/cm³

=====

Here is a relaxed AcPuCdIr crystal from Alexandria via LeMat-Bulk. Energies are from PBE.

The structure in CIF format:
```
data_AcPuCdIr
_cell_length_a 7.460
_cell_length_b 7.460
_cell_length_c 7.460
_cell_angle_alpha 90.00
_cell_angle_beta 90.00
_cell_angle_gamma 90.00
_symmetry_space_group_name_H-M 'F -4 3 m'
_symmetry_Int_Tables_number 216
_symmetry_space_group_name_Hall 'F -4 2 3'
loop_
_atom_site_label
_atom_site_type_symbol
_atom_site_fract_x
_atom_site_fract_y
_atom_site_fract_z
Ac1 Ac 0.000 0.000 0.000
Pu1 Pu 0.000 0.000 0.500
Cd1 Cd 0.250 0.250 0.750
Ir1 Ir 0.250 0.250 0.250
```

## Properties
- Spin magnetization: 1.353 μB/atom
- DFT formation energy: -0.164 eV/atom
- Density: 12.4 g/cm³